Below is a relaxed structure of Er2ZrF, with properties calculated at the PBE level.

- Energy relative to the elements, uncorrected: -1098.5 meV per atom
- Symmetry: R-3m

a b c (Å): 3.493 3.493 24.793
angles (deg): 90.00 90.00 120.00
Fractional positions:
Er1 0.000 0.000 0.231
Er2 0.000 0.000 0.769
Er3 0.333 0.667 0.435
Er4 0.333 0.667 0.898
Er5 0.667 0.333 0.102
Er6 0.667 0.333 0.565
Zr1 0.000 0.000 0.000
Zr2 0.333 0.667 0.667
Zr3 0.667 0.333 0.333
F1 0.000 0.000 0.500
F2 0.333 0.667 0.167
F3 0.667 0.333 0.833



Below is a relaxed structure of Er2Fe17, with properties calculated at the PBE level.

- Symmetry: R-3m
- ΔE_f: -0.0209 eV per atom

a b c (Å): 6.373 6.373 6.373
angles (deg): 82.59 82.59 82.59
Fractional positions:
Er1 0.160 0.160 0.160
Er2 0.840 0.840 0.840
Fe1 0.000 0.500 0.500
Fe2 0.157 0.157 0.658
Fe3 0.157 0.658 0.157
Fe4 0.202 0.500 0.798
Fe5 0.202 0.798 0.500
Fe6 0.342 0.843 0.843
Fe7 0.404 0.404 0.404
Fe8 0.500 0.000 0.500
Fe9 0.500 0.202 0.798
Fe10 0.500 0.500 0.000
Fe11 0.500 0.798 0.202
Fe12 0.596 0.596 0.596
Fe13 0.658 0.157 0.157
Fe14 0.798 0.202 0.500
Fe15 0.798 0.500 0.202
Fe16 0.843 0.342 0.843
Fe17 0.843 0.843 0.342



Below is a relaxed structure of ErFe2, with properties calculated at the PBE level.

- Symmetry: Fd-3m
- ΔE_f: -0.1216 eV per atom

a b c (Å): 5.097 5.097 5.097
angles (deg): 60.00 60.00 60.00
Fractional positions:
Er1 0.125 0.125 0.125
Er2 0.875 0.875 0.875
Fe1 0.000 0.500 0.500
Fe2 0.500 0.000 0.500
Fe3 0.500 0.500 0.000
Fe4 0.500 0.500 0.500



Below is a relaxed structure of Er3Fe, with properties calculated at the PBE level.

- Symmetry: C2/m
- ΔE_f: 0.0723 eV per atom

a b c (Å): 6.525 10.690 6.032
angles (deg): 90.00 93.30 90.00
Fractional positions:
Er1 0.159 0.167 0.268
Er2 0.159 0.833 0.268
Er3 0.184 0.500 0.231
Er4 0.316 0.000 0.769
Er5 0.341 0.333 0.732
Er6 0.341 0.667 0.732
Er7 0.659 0.333 0.268
Er8 0.659 0.667 0.268
Er9 0.684 0.000 0.231
Er10 0.816 0.500 0.769
Er11 0.841 0.167 0.732
Er12 0.841 0.833 0.732
Fe1 0.000 0.359 0.500
Fe2 0.000 0.641 0.500
Fe3 0.500 0.141 0.500
Fe4 0.500 0.859 0.500



Below is a relaxed structure of ErFe3, with properties calculated at the PBE level.

- Symmetry: P6_3/mmc
- ΔE_f: -0.1013 eV per atom

a b c (Å): 5.060 5.060 16.068
angles (deg): 90.00 90.00 120.00
Fractional positions:
Er1 0.333 0.667 0.037
Er2 0.333 0.667 0.250
Er3 0.333 0.667 0.463
Er4 0.667 0.333 0.537
Er5 0.667 0.333 0.750
Er6 0.667 0.333 0.963
Fe1 0.000 0.000 0.000
Fe2 0.000 0.000 0.250
Fe3 0.000 0.000 0.500
Fe4 0.000 0.000 0.750
Fe5 0.167 0.334 0.627
Fe6 0.167 0.334 0.873
Fe7 0.167 0.833 0.627
Fe8 0.167 0.833 0.873
Fe9 0.333 0.667 0.750
Fe10 0.334 0.167 0.127
Fe11 0.334 0.167 0.373
Fe12 0.666 0.833 0.627
Fe13 0.666 0.833 0.873
Fe14 0.667 0.333 0.250
Fe15 0.833 0.167 0.127
Fe16 0.833 0.167 0.373
Fe17 0.833 0.666 0.127
Fe18 0.833 0.666 0.373



Below is a relaxed structure of Er2Fe7, with properties calculated at the PBE level.

- Symmetry: R-3m
- ΔE_f: -0.0749 eV per atom

a b c (Å): 12.351 12.351 12.351
angles (deg): 23.42 23.42 23.42
Fractional positions:
Er1 0.051 0.051 0.051
Er2 0.149 0.149 0.149
Er3 0.851 0.851 0.851
Er4 0.949 0.949 0.949
Fe1 0.000 0.500 0.500
Fe2 0.110 0.609 0.609
Fe3 0.279 0.279 0.279
Fe4 0.387 0.387 0.387
Fe5 0.391 0.391 0.890
Fe6 0.391 0.890 0.391
Fe7 0.500 0.000 0.500
Fe8 0.500 0.500 0.000
Fe9 0.500 0.500 0.500
Fe10 0.609 0.110 0.609
Fe11 0.609 0.609 0.110
Fe12 0.613 0.613 0.613
Fe13 0.721 0.721 0.721
Fe14 0.890 0.391 0.391



Below is a relaxed structure of Er3Fe, with properties calculated at the PBE level.

- Symmetry: Imm2
- ΔE_f: 0.0619 eV per atom

a b c (Å): 3.476 10.534 5.269
angles (deg): 90.00 90.00 90.00
Fractional positions:
Er1 0.000 0.000 0.000
Er2 0.000 0.194 0.499
Er3 0.000 0.806 0.499
Er4 0.500 0.306 0.999
Er5 0.500 0.500 0.500
Er6 0.500 0.694 0.999
Fe1 0.000 0.500 0.976
Fe2 0.500 0.000 0.476



Below is a relaxed structure of ErFe3, with properties calculated at the PBE level.

- Symmetry: R-3m
- ΔE_f: -0.1058 eV per atom

a b c (Å): 8.567 8.567 8.567
angles (deg): 34.35 34.35 34.35
Fractional positions:
Er1 0.000 0.000 0.000
Er2 0.142 0.142 0.142
Er3 0.858 0.858 0.858
Fe1 0.082 0.582 0.582
Fe2 0.333 0.333 0.333
Fe3 0.418 0.418 0.918
Fe4 0.418 0.918 0.418
Fe5 0.500 0.500 0.500
Fe6 0.582 0.082 0.582
Fe7 0.582 0.582 0.082
Fe8 0.667 0.667 0.667
Fe9 0.918 0.418 0.418



Q: Which formula does entry 8 have?
A: ErFe3